BeAg2W2: optimized geometry, PBE-GGA.

Cell: 3.5564 3.5564 13.9746 Å, 90.00 90.00 90.00°
Closest atoms and distances in Å follow each position.
Atoms (fractional coordinates):
Be 0.0000 0.0000 0.0000  8 W 2.76
Be 0.5000 0.5000 0.5000  8 W 2.76
Ag 0.0000 0.5000 0.2500  4 Ag 2.51
Ag 0.0000 0.5000 0.7500  4 Ag 2.51
Ag 0.5000 0.0000 0.2500  4 Ag 2.51
Ag 0.5000 0.0000 0.7500  4 Ag 2.51
W 0.0000 0.0000 0.4183  1 W 2.28
W 0.0000 0.0000 0.5817  1 W 2.28
W 0.5000 0.5000 0.0817  1 W 2.28
W 0.5000 0.5000 0.9183  1 W 2.28

Total magnetization: 0.00 μB/cell
Uncorrected energy: -58.8 eV per cell
Space-group type: I4/mmm, No. 139